K3MgNi2F9 | PBE+U | optimized geometry

Lattice parameters (Å, degrees): 5.740 5.740 7.032 90.00 90.00 120.00
Fractional positions:
K 0.000 0.000 0.000
K 0.333 0.667 0.670
K 0.667 0.333 0.330
Mg 0.000 0.000 0.500
Ni 0.333 0.667 0.169
Ni 0.667 0.333 0.831
F 0.000 0.500 0.000
F 0.166 0.331 0.335
F 0.166 0.834 0.335
F 0.331 0.166 0.665
F 0.500 0.000 0.000
F 0.500 0.500 0.000
F 0.669 0.834 0.335
F 0.834 0.166 0.665
F 0.834 0.669 0.665

Output
- Uncorrected energy: -68.14 eV for the cell shown
- Crystal system: trigonal
- Calculated volume: 201 Å³ per cell